Entry 1:
DFT (meta-GGA SCAN) results for HfMoO2F at its PBEsol-relaxed geometry.

Cell lengths 4.0839, 4.0839, 4.1367 Å; angles 90.00, 90.00, 90.00 degrees
Space group P4/mmm (No. 123)
Inequivalent atoms, fractional coordinates:
1 Hf 0.0000 0.0000 0.0000 [1 per cell]
2 Mo 0.5000 0.5000 0.5000 [1 per cell]
3 O 0.0000 0.5000 0.0000 [2 per cell]
4 F 0.0000 0.0000 0.5000 [1 per cell]

Summary:
Energy relative to the elements, uncorrected   -1991 meV/atom
Magnetization   5.00 μB/f.u.
DFT total energy   -123.5 eV per cell
ρ   7.833 g/cm3

Entry 2:
DFT (meta-GGA SCAN) results for Hf3NF at its PBEsol-relaxed geometry.

Cell lengths 4.3025, 4.3025, 4.3025 Å; angles 90.00, 90.00, 90.00 degrees
Space group Pm-3m (No. 221)
Inequivalent atoms, fractional coordinates:
1 Hf 0.0000 0.0000 0.5000 [3 per cell]
2 N 0.5000 0.5000 0.5000 [1 per cell]
3 F 0.0000 0.0000 0.0000 [1 per cell]

Summary:
Energy relative to the elements, uncorrected   555 meV/atom
Magnetization   0.00 μB/f.u.
DFT total energy   -198.1 eV per cell
ρ   11.852 g/cm3

Entry 3:
DFT (meta-GGA SCAN) results for HfNbN2F at its PBEsol-relaxed geometry.

Cell lengths 4.1905, 4.1905, 3.8342 Å; angles 90.00, 90.00, 90.00 degrees
Space group P4/mmm (No. 123)
Inequivalent atoms, fractional coordinates:
1 Hf 0.0000 0.0000 0.0000 [1 per cell]
2 Nb 0.5000 0.5000 0.5000 [1 per cell]
3 N 0.0000 0.5000 0.0000 [2 per cell]
4 F 0.0000 0.0000 0.5000 [1 per cell]

Summary:
Energy relative to the elements, uncorrected   -854 meV/atom
Magnetization   2.01 μB/f.u.
DFT total energy   -122.2 eV per cell
ρ   7.853 g/cm3

Entry 4:
DFT (meta-GGA SCAN) results for HfPbN2F at its PBEsol-relaxed geometry.

Cell lengths 4.2284, 4.2284, 4.0946 Å; angles 90.00, 90.00, 90.00 degrees
Space group P4/mmm (No. 123)
Inequivalent atoms, fractional coordinates:
1 Hf 0.0000 0.0000 0.0000 [1 per cell]
2 Pb 0.5000 0.5000 0.5000 [1 per cell]
3 N 0.0000 0.5000 0.0000 [2 per cell]
4 F 0.0000 0.0000 0.5000 [1 per cell]

Summary:
Energy relative to the elements, uncorrected   -1116 meV/atom
Polymorph energy (0 for the lowest one)   0.0 meV per atom
Magnetization   1.00 μB/f.u.
DFT total energy   -166.2 eV per cell
ρ   9.815 g/cm3

Entry 5:
DFT (meta-GGA SCAN) results for HfPbN2F at its PBEsol-relaxed geometry.

Cell lengths 4.2686, 4.2686, 4.1109 Å; angles 90.00, 90.00, 90.00 degrees
Space group P4/mmm (No. 123)
Inequivalent atoms, fractional coordinates:
1 Hf 0.0000 0.0000 0.0000 [1 per cell]
2 Pb 0.5000 0.5000 0.5000 [1 per cell]
3 N 0.0000 0.5000 0.5000 [2 per cell]
4 F 0.5000 0.5000 0.0000 [1 per cell]

Summary:
Energy relative to the elements, uncorrected   680 meV/atom
Polymorph energy (0 for the lowest one)   1795.8 meV per atom
Magnetization   0.63 μB/f.u.
DFT total energy   -157.2 eV per cell
ρ   9.593 g/cm3

Entry 6:
DFT (meta-GGA SCAN) results for Hf2PbNF at its PBEsol-relaxed geometry.

Cell lengths 4.2313, 4.2313, 4.6190 Å; angles 90.00, 90.00, 90.00 degrees
Space group P4/mmm (No. 123)
Inequivalent atoms, fractional coordinates:
1 Hf 0.0000 0.5000 0.0000 [2 per cell]
2 Pb 0.0000 0.0000 0.5000 [1 per cell]
3 N 0.5000 0.5000 0.5000 [1 per cell]
4 F 0.5000 0.5000 0.0000 [1 per cell]

Summary:
Energy relative to the elements, uncorrected   59 meV/atom
Magnetization   0.00 μB/f.u.
DFT total energy   -213.7 eV per cell
ρ   11.991 g/cm3

Entry 7:
DFT (meta-GGA SCAN) results for HfPtNF2 at its PBEsol-relaxed geometry.

Cell lengths 4.4596, 4.4596, 3.6525 Å; angles 90.00, 90.00, 90.00 degrees
Space group P4/mmm (No. 123)
Inequivalent atoms, fractional coordinates:
1 Hf 0.0000 0.0000 0.0000 [1 per cell]
2 Pt 0.5000 0.5000 0.5000 [1 per cell]
3 N 0.5000 0.5000 0.0000 [1 per cell]
4 F 0.0000 0.5000 0.5000 [2 per cell]

Summary:
Energy relative to the elements, uncorrected   30 meV/atom
Magnetization   0.72 μB/f.u.
DFT total energy   -149.1 eV per cell
ρ   9.729 g/cm3

Entry 8:
DFT (meta-GGA SCAN) results for HfRuNF2 at its PBEsol-relaxed geometry.

Cell lengths 3.8734, 3.8734, 4.2951 Å; angles 90.00, 90.00, 90.00 degrees
Space group P4/mmm (No. 123)
Inequivalent atoms, fractional coordinates:
1 Hf 0.0000 0.0000 0.0000 [1 per cell]
2 Ru 0.5000 0.5000 0.0000 [1 per cell]
3 N 0.0000 0.0000 0.5000 [1 per cell]
4 F 0.0000 0.5000 0.5000 [2 per cell]

Summary:
Energy relative to the elements, uncorrected   277 meV/atom
Magnetization   1.15 μB/f.u.
DFT total energy   -112.5 eV per cell
ρ   8.544 g/cm3

Please write out number 7 again, unchanged.
DFT (meta-GGA SCAN) results for HfPtNF2 at its PBEsol-relaxed geometry.

Cell lengths 4.4596, 4.4596, 3.6525 Å; angles 90.00, 90.00, 90.00 degrees
Space group P4/mmm (No. 123)
Inequivalent atoms, fractional coordinates:
1 Hf 0.0000 0.0000 0.0000 [1 per cell]
2 Pt 0.5000 0.5000 0.5000 [1 per cell]
3 N 0.5000 0.5000 0.0000 [1 per cell]
4 F 0.0000 0.5000 0.5000 [2 per cell]

Summary:
Energy relative to the elements, uncorrected   30 meV/atom
Magnetization   0.72 μB/f.u.
DFT total energy   -149.1 eV per cell
ρ   9.729 g/cm3